The following is a DFT calculation (PBE with a Hubbard U) of a geometry-optimized LiMn5Cu2O12 structure.

Computed properties:
uncorrected energy	-6.575	eV/atom

Cell: 5.4011 8.6654 9.6921 Å, 90.00 97.38 90.00°
Space group C2 (No. 5)
Unique sites:
Li1 0.0000 0.0000 0.0000 [2 per cell]
Mn1 0.0000 0.1504 0.5000 [2 per cell]
Mn2 0.0000 0.4882 0.5000 [2 per cell]
Mn3 0.0000 0.6612 0.0000 [2 per cell]
Mn4 0.2425 0.8272 0.2414 [4 per cell]
Cu1 0.0000 0.3322 0.0000 [2 per cell]
Cu2 0.0000 0.8162 0.5000 [2 per cell]
O1 0.0626 0.3176 0.3764 [4 per cell]
O2 0.0649 0.8161 0.8690 [4 per cell]
O3 0.1226 0.4866 0.8971 [4 per cell]
O4 0.1545 0.9785 0.3990 [4 per cell]
O5 0.1553 0.6546 0.4000 [4 per cell]
O6 0.1571 0.1828 0.9003 [4 per cell]